1.
Below is a relaxed structure of MgIn2Cu, with properties calculated at the GGA-PBE level.

Properties
M_tot = 0.0 Bohr magnetons per cell
Final energy = -0.1974 Ry/atom

Cell lengths 8.539, 8.539, 5.255 Å; angles 90.00, 90.00, 90.00 degrees
Space group I-42d (No. 122)
Asymmetric unit:
Mg (0.000, 0.000, 0.000) [4 per cell]
In (0.164, 0.250, 0.625) [8 per cell]
Cu (0.000, 0.000, 0.500) [4 per cell]

***

2.
Below is a relaxed structure of MoOs2, with properties calculated at the GGA-PBE level.

Properties
Offset from the most stable computed form = 0.52 eV per formula unit
M_tot = 0.0 Bohr magnetons per cell
Final energy = -0.8043 Ry/atom

Cell lengths 2.7479, 2.7479, 6.8155 Å; angles 90.00, 90.00, 120.00 degrees
Space group P-3m1 (No. 164)
Asymmetric unit:
Mo (0.0000, 0.0000, 0.0000) [1 per cell]
Os (0.3333, 0.6667, 0.3368) [2 per cell]

***

3.
Below is a relaxed structure of CoTcI2N, with properties calculated at the GGA-PBE level.

Properties
Raw formation energy = 1.00 eV/atom
Offset from the most stable computed form = 0.89 eV per formula unit
M_tot = 4.2 Bohr magnetons per cell
Final energy = -0.3515 Ry/atom

Cell lengths 5.467, 5.467, 3.471 Å; angles 90.00, 90.00, 90.00 degrees
Space group P4/mmm (No. 123)
Asymmetric unit:
Co (0.000, 0.000, 0.000) [1 per cell]
Tc (0.500, 0.500, 0.500) [1 per cell]
I (0.000, 0.500, 0.000) [2 per cell]
N (0.000, 0.000, 0.500) [1 per cell]

***

4.
Below is a relaxed structure of NaLa2PbS, with properties calculated at the GGA-PBE level.

Properties
Raw formation energy = -0.93 eV/atom
M_tot = 0.0 Bohr magnetons per cell
Final energy = -0.3477 Ry/atom

Cell lengths 5.563, 5.563, 5.075 Å; angles 90.00, 90.00, 90.00 degrees
Space group P4/mmm (No. 123)
Asymmetric unit:
Na (0.000, 0.000, 0.000) [1 per cell]
La (0.000, 0.500, 0.500) [2 per cell]
Pb (0.500, 0.500, 0.000) [1 per cell]
S (0.000, 0.000, 0.500) [1 per cell]

***

- M_tot of number 2 (MoOs2)?
  0.0 Bohr magnetons per cell

***

- Which value of M_tot does entry 4 give?
  0.0 Bohr magnetons per cell